# VInFe2O6

VInFe2O6 after structural relaxation (GGA+U, the Alexandria database).

abc: 5.2741 5.2789 5.5605
angles: 117.96 90.75 119.18
Space group P1 (No. 1)
Inequivalent atoms, fractional coordinates:
V  0.0000  0.0000  0.0000 (multiplicity 1)
In  0.4943  0.9940  0.4832 (multiplicity 1)
Fe  0.1974  0.4065  0.6174 (multiplicity 1)
Fe  0.6984  0.4202  0.1243 (multiplicity 1)
O  0.0890  0.9181  0.3018 (multiplicity 1)
O  0.2374  0.8702  0.8044 (multiplicity 1)
O  0.3719  0.4818  0.3001 (multiplicity 1)
O  0.5990  0.5336  0.8118 (multiplicity 1)
O  0.8094  0.1979  0.2860 (multiplicity 1)
O  0.9118  0.1932  0.8007 (multiplicity 1)

Summary:
- VASP energy: -67.14 eV per formula unit
- Calculated volume: 113 Å³/f.u.